## MgSc2Re (PBE)

Data for an optimized crystal structure of MgSc2Re.

Computed properties:
DFT formation energy: 0.1043 eV per atom
theoretical density: 6485 kg/m3
total moment: 0.000 μB per atom
E: -6.572 eV per atom

Structure (CIF):
```
data_MgSc2Re
_symmetry_space_group_name_H-M 'I m m 2'
_symmetry_Int_Tables_number 44
_symmetry_space_group_name_Hall 'I 2 -2'
_cell_length_a 3.856
_cell_length_b 4.489
_cell_length_c 8.889
_cell_angle_alpha 90.00
_cell_angle_beta 90.00
_cell_angle_gamma 90.00
loop_
_atom_site_label
_atom_site_fract_x
_atom_site_fract_y
_atom_site_fract_z
Mg1 0.000 0.000 0.000
Sc1 0.000 0.000 0.476
Sc2 0.000 0.500 0.240
Re1 0.000 0.500 0.739
```

---

## Na3Pr2DySe6 (PBE)

Data for an optimized crystal structure of Na3Pr2DySe6.

Computed properties:
theoretical density: 4952 kg/m3
formation energy (no corrections): -20.21 eV/f.u.
total moment: 0.000 μB per atom
E: -4.936 eV per atom

Structure (CIF):
```
data_Na3Pr2DySe6
_symmetry_space_group_name_H-M 'C 1 2/m 1'
_symmetry_Int_Tables_number 12
_symmetry_space_group_name_Hall '-C 2y'
_cell_length_a 7.380
_cell_length_b 12.783
_cell_length_c 7.436
_cell_angle_alpha 90.00
_cell_angle_beta 109.35
_cell_angle_gamma 90.00
loop_
_atom_site_label
_atom_site_fract_x
_atom_site_fract_y
_atom_site_fract_z
Na1 0.000 0.000 0.000
Na2 0.000 0.333 0.000
Pr1 0.000 0.166 0.500
Dy1 0.000 0.500 0.500
Se1 0.240 0.338 0.735
Se2 0.245 0.500 0.266
```

---

## BaCd3Re (PBE)

Data for an optimized crystal structure of BaCd3Re.

Computed properties:
DFT formation energy: 0.3851 eV per atom
theoretical density: 7298 kg/m3
energy above the lowest structure with this stoichiometry: 0.000 eV/atom
total moment: 0.000 μB per atom
E: -3.038 eV per atom

Structure (CIF):
```
data_BaCd3Re
_symmetry_space_group_name_H-M 'P m -3 m'
_symmetry_Int_Tables_number 221
_symmetry_space_group_name_Hall '-P 4 2 3'
_cell_length_a 5.317
_cell_length_b 5.317
_cell_length_c 5.317
_cell_angle_alpha 90.00
_cell_angle_beta 90.00
_cell_angle_gamma 90.00
loop_
_atom_site_label
_atom_site_fract_x
_atom_site_fract_y
_atom_site_fract_z
Ba1 0.000 0.000 0.000
Cd1 0.000 0.500 0.500
Re1 0.500 0.500 0.500
```

---

## BaCaMg2Ni (PBE)

Data for an optimized crystal structure of BaCaMg2Ni.

Computed properties:
DFT formation energy: -0.0502 eV per atom
theoretical density: 3241 kg/m3
energy above the lowest structure with this stoichiometry: 0.000 eV/atom
total moment: 0.000 μB per atom
E: -2.629 eV per atom

Structure (CIF):
```
data_BaCaMg2Ni
_symmetry_space_group_name_H-M 'P 4/m m m'
_symmetry_Int_Tables_number 123
_symmetry_space_group_name_Hall '-P 4 2'
_cell_length_a 5.232
_cell_length_b 5.232
_cell_length_c 5.329
_cell_angle_alpha 90.00
_cell_angle_beta 90.00
_cell_angle_gamma 90.00
loop_
_atom_site_label
_atom_site_fract_x
_atom_site_fract_y
_atom_site_fract_z
Ba1 0.000 0.000 0.000
Ca1 0.500 0.500 0.000
Mg1 0.000 0.500 0.500
Ni1 0.500 0.500 0.500
```

---

## Ac4IrPtBr2 (PBE)

Data for an optimized crystal structure of Ac4IrPtBr2.

Computed properties:
theoretical density: 8701 kg/m3
formation energy (no corrections): -10.26 eV/f.u.
total moment: 0.000 μB per atom
E: -5.617 eV per atom

Structure (CIF):
```
data_Ac4IrPtBr2
_symmetry_space_group_name_H-M 'P 1 2/m 1'
_symmetry_Int_Tables_number 10
_symmetry_space_group_name_Hall '-P 2y'
_cell_length_a 7.651
_cell_length_b 4.400
_cell_length_c 8.644
_cell_angle_alpha 90.00
_cell_angle_beta 107.38
_cell_angle_gamma 90.00
loop_
_atom_site_label
_atom_site_fract_x
_atom_site_fract_y
_atom_site_fract_z
Ac1 0.226 0.000 0.194
Ac2 0.263 0.500 0.806
Ir1 0.000 0.500 0.000
Pt1 0.500 0.000 0.000
Br1 0.000 0.000 0.500
Br2 0.500 0.500 0.500
```

---

## TbSc4Cd (PBE)

Data for an optimized crystal structure of TbSc4Cd.

Computed properties:
DFT formation energy: -0.0621 eV per atom
theoretical density: 5005 kg/m3
energy above the lowest structure with this stoichiometry: 0.000 eV/atom
total moment: 0.000 μB per atom
E: -5.207 eV per atom

Structure (CIF):
```
data_TbSc4Cd
_symmetry_space_group_name_H-M 'P 4/m m m'
_symmetry_Int_Tables_number 123
_symmetry_space_group_name_Hall '-P 4 2'
_cell_length_a 3.340
_cell_length_b 3.340
_cell_length_c 13.420
_cell_angle_alpha 90.00
_cell_angle_beta 90.00
_cell_angle_gamma 90.00
loop_
_atom_site_label
_atom_site_fract_x
_atom_site_fract_y
_atom_site_fract_z
Tb1 0.000 0.000 0.000
Sc1 0.000 0.000 0.349
Sc2 0.500 0.500 0.182
Cd1 0.500 0.500 0.500
```

---

Which value of E does entry 3 give?
-3.038 eV per atom

---

What is the theoretical density in the fifth record?
8701 kg/m3